# BaGa2Cu2 | Alexandria | PBE | optimized geometry
# Space group: No. 166
# VASP energy: -3.3628 eV per atom
data_BaGa2Cu2
_cell_length_a 7.319
_cell_length_b 7.319
_cell_length_c 7.319
_cell_angle_alpha 34.16
_cell_angle_beta 34.16
_cell_angle_gamma 34.16
_symmetry_space_group_name_H-M 'P 1'
_symmetry_Int_Tables_number 1
loop_
_symmetry_equiv_pos_as_xyz
'x,y,z'
loop_
_atom_site_label
_atom_site_fract_x
_atom_site_fract_y
_atom_site_fract_z
Ba1 0.000 0.000 0.000
Ga1 0.205 0.205 0.205
Ga2 0.795 0.795 0.795
Cu1 0.442 0.442 0.442
Cu2 0.558 0.558 0.558


# ZrTlAuS3 | Alexandria | PBE | optimized geometry
# Space group: No. 11
# Formation energy from raw total energies: -0.84 eV/atom
data_ZrTlAuS3
_cell_length_a 8.514
_cell_length_b 3.785
_cell_length_c 9.748
_cell_angle_alpha 90.00
_cell_angle_beta 111.99
_cell_angle_gamma 90.00
_symmetry_space_group_name_H-M 'P 1'
_symmetry_Int_Tables_number 1
loop_
_symmetry_equiv_pos_as_xyz
'x,y,z'
loop_
_atom_site_label
_atom_site_fract_x
_atom_site_fract_y
_atom_site_fract_z
Zr1 0.189 0.250 0.166
Zr2 0.811 0.750 0.834
Tl1 0.220 0.750 0.705
Tl2 0.780 0.250 0.295
Au1 0.492 0.750 0.386
Au2 0.508 0.250 0.614
S1 0.037 0.250 0.870
S2 0.222 0.250 0.433
S3 0.375 0.750 0.122
S4 0.625 0.250 0.878
S5 0.778 0.750 0.567
S6 0.963 0.750 0.130


# Ag4HgAs | Alexandria | PBE | optimized geometry
# Space group: No. 216
# VASP energy: -2.4745 eV per atom
data_Ag4HgAs
_cell_length_a 5.544
_cell_length_b 5.544
_cell_length_c 5.544
_cell_angle_alpha 60.00
_cell_angle_beta 60.00
_cell_angle_gamma 60.00
_symmetry_space_group_name_H-M 'P 1'
_symmetry_Int_Tables_number 1
loop_
_symmetry_equiv_pos_as_xyz
'x,y,z'
loop_
_atom_site_label
_atom_site_fract_x
_atom_site_fract_y
_atom_site_fract_z
Ag1 0.125 0.125 0.125
Ag2 0.125 0.125 0.625
Ag3 0.125 0.625 0.125
Ag4 0.625 0.125 0.125
Hg1 0.500 0.500 0.500
As1 0.750 0.750 0.750


# Tb2DyTm9 | Alexandria | PBE | optimized geometry
# Space group: No. 123
# Energy relative to the lowest polymorph listed for this composition: 0.072 eV per atom
data_Tb2DyTm9
_cell_length_a 5.803
_cell_length_b 5.803
_cell_length_c 10.919
_cell_angle_alpha 90.00
_cell_angle_beta 90.00
_cell_angle_gamma 90.00
_symmetry_space_group_name_H-M 'P 1'
_symmetry_Int_Tables_number 1
loop_
_symmetry_equiv_pos_as_xyz
'x,y,z'
loop_
_atom_site_label
_atom_site_fract_x
_atom_site_fract_y
_atom_site_fract_z
Tb1 0.000 0.000 0.167
Tb2 0.000 0.000 0.833
Dy1 0.000 0.000 0.500
Tm1 0.000 0.500 0.000
Tm2 0.000 0.500 0.334
Tm3 0.000 0.500 0.666
Tm4 0.500 0.000 0.000
Tm5 0.500 0.000 0.334
Tm6 0.500 0.000 0.666
Tm7 0.500 0.500 0.167
Tm8 0.500 0.500 0.500
Tm9 0.500 0.500 0.833


# K3ZnAg3F8 | Alexandria | PBE | optimized geometry
# Space group: No. 12
# Formation energy from raw total energies: -1.94 eV/atom
data_K3ZnAg3F8
_cell_length_a 7.227
_cell_length_b 7.227
_cell_length_c 7.296
_cell_angle_alpha 119.07
_cell_angle_beta 119.07
_cell_angle_gamma 58.69
_symmetry_space_group_name_H-M 'P 1'
_symmetry_Int_Tables_number 1
loop_
_symmetry_equiv_pos_as_xyz
'x,y,z'
loop_
_atom_site_label
_atom_site_fract_x
_atom_site_fract_y
_atom_site_fract_z
K1 0.000 0.000 0.000
K2 0.000 0.500 0.000
K3 0.500 0.000 0.000
Zn1 0.000 0.000 0.500
Ag1 0.000 0.500 0.500
Ag2 0.500 0.000 0.500
Ag3 0.500 0.500 0.500
F1 0.202 0.202 0.690
F2 0.211 0.789 0.301
F3 0.211 0.789 0.699
F4 0.248 0.248 0.264
F5 0.752 0.752 0.736
F6 0.789 0.211 0.301
F7 0.789 0.211 0.699
F8 0.798 0.798 0.310


# La3TbPr2Y6 | Alexandria | PBE | optimized geometry
# Space group: No. 12
# VASP energy: -5.6366 eV per atom
data_La3TbPr2Y6
_cell_length_a 6.316
_cell_length_b 6.316
_cell_length_c 11.935
_cell_angle_alpha 95.05
_cell_angle_beta 95.05
_cell_angle_gamma 120.01
_symmetry_space_group_name_H-M 'P 1'
_symmetry_Int_Tables_number 1
loop_
_symmetry_equiv_pos_as_xyz
'x,y,z'
loop_
_atom_site_label
_atom_site_fract_x
_atom_site_fract_y
_atom_site_fract_z
La1 0.000 0.000 0.000
La2 0.333 0.667 0.000
La3 0.667 0.333 0.000
Tb1 0.500 0.500 0.500
Pr1 0.166 0.834 0.500
Pr2 0.834 0.166 0.500
Y1 0.085 0.418 0.252
Y2 0.250 0.250 0.748
Y3 0.418 0.085 0.252
Y4 0.582 0.915 0.748
Y5 0.750 0.750 0.252
Y6 0.915 0.582 0.748


# MgZrPt2 | Alexandria | PBE | optimized geometry
# Space group: No. 25
# VASP energy: -6.4675 eV per atom
data_MgZrPt2
_cell_length_a 3.000
_cell_length_b 4.810
_cell_length_c 4.871
_cell_angle_alpha 90.00
_cell_angle_beta 90.00
_cell_angle_gamma 90.00
_symmetry_space_group_name_H-M 'P 1'
_symmetry_Int_Tables_number 1
loop_
_symmetry_equiv_pos_as_xyz
'x,y,z'
loop_
_atom_site_label
_atom_site_fract_x
_atom_site_fract_y
_atom_site_fract_z
Mg1 0.000 0.000 0.000
Zr1 0.000 0.500 0.435
Pt1 0.500 0.000 0.522
Pt2 0.500 0.500 0.940


# RbTeAsN2 | Alexandria | PBE | optimized geometry
# Space group: No. 123
# Energy relative to the lowest polymorph listed for this composition: 0.000 eV per atom
# Formation energy from raw total energies: 1.27 eV/atom
data_RbTeAsN2
_cell_length_a 4.586
_cell_length_b 4.586
_cell_length_c 5.553
_cell_angle_alpha 90.00
_cell_angle_beta 90.00
_cell_angle_gamma 90.00
_symmetry_space_group_name_H-M 'P 1'
_symmetry_Int_Tables_number 1
loop_
_symmetry_equiv_pos_as_xyz
'x,y,z'
loop_
_atom_site_label
_atom_site_fract_x
_atom_site_fract_y
_atom_site_fract_z
Rb1 0.000 0.000 0.000
Te1 0.500 0.500 0.000
As1 0.500 0.500 0.500
N1 0.000 0.500 0.500
N2 0.500 0.000 0.500


# NaTlCd2Cu | Alexandria | PBE | optimized geometry
# Space group: No. 123
# Energy relative to the lowest polymorph listed for this composition: 0.000 eV per atom
data_NaTlCd2Cu
_cell_length_a 5.090
_cell_length_b 5.090
_cell_length_c 5.230
_cell_angle_alpha 90.00
_cell_angle_beta 90.00
_cell_angle_gamma 90.00
_symmetry_space_group_name_H-M 'P 1'
_symmetry_Int_Tables_number 1
loop_
_symmetry_equiv_pos_as_xyz
'x,y,z'
loop_
_atom_site_label
_atom_site_fract_x
_atom_site_fract_y
_atom_site_fract_z
Na1 0.000 0.000 0.000
Tl1 0.500 0.500 0.000
Cd1 0.000 0.500 0.500
Cd2 0.500 0.000 0.500
Cu1 0.500 0.500 0.500


# Fe3Ir4W2 | Alexandria | PBE | optimized geometry
# Space group: No. 12
# VASP energy: -9.7938 eV per atom
data_Fe3Ir4W2
_cell_length_a 4.691
_cell_length_b 4.691
_cell_length_c 8.068
_cell_angle_alpha 106.28
_cell_angle_beta 106.28
_cell_angle_gamma 48.11
_symmetry_space_group_name_H-M 'P 1'
_symmetry_Int_Tables_number 1
loop_
_symmetry_equiv_pos_as_xyz
'x,y,z'
loop_
_atom_site_label
_atom_site_fract_x
_atom_site_fract_y
_atom_site_fract_z
Fe1 0.000 0.000 0.000
Fe2 0.336 0.336 0.446
Fe3 0.664 0.664 0.554
Ir1 0.006 0.006 0.338
Ir2 0.336 0.336 0.113
Ir3 0.664 0.664 0.887
Ir4 0.994 0.994 0.662
W1 0.331 0.331 0.776
W2 0.669 0.669 0.224


# YGaW3 | Alexandria | PBE | optimized geometry
# Space group: No. 221
# Energy relative to the lowest polymorph listed for this composition: 0.000 eV per atom
data_YGaW3
_cell_length_a 4.705
_cell_length_b 4.705
_cell_length_c 4.705
_cell_angle_alpha 90.00
_cell_angle_beta 90.00
_cell_angle_gamma 90.00
_symmetry_space_group_name_H-M 'P 1'
_symmetry_Int_Tables_number 1
loop_
_symmetry_equiv_pos_as_xyz
'x,y,z'
loop_
_atom_site_label
_atom_site_fract_x
_atom_site_fract_y
_atom_site_fract_z
Y1 0.000 0.000 0.000
Ga1 0.500 0.500 0.500
W1 0.000 0.500 0.500
W2 0.500 0.000 0.500
W3 0.500 0.500 0.000


# PuThPtRh | Alexandria | PBE | optimized geometry
# Space group: No. 38
# Energy relative to the lowest polymorph listed for this composition: 0.000 eV per atom
data_PuThPtRh
_cell_length_a 4.245
_cell_length_b 5.859
_cell_length_c 5.859
_cell_angle_alpha 39.20
_cell_angle_beta 90.00
_cell_angle_gamma 90.00
_symmetry_space_group_name_H-M 'P 1'
_symmetry_Int_Tables_number 1
loop_
_symmetry_equiv_pos_as_xyz
'x,y,z'
loop_
_atom_site_label
_atom_site_fract_x
_atom_site_fract_y
_atom_site_fract_z
Pu1 0.000 0.000 0.000
Th1 0.500 0.726 0.726
Pt1 0.500 0.454 0.454
Rh1 0.000 0.262 0.262


# Ac6Pm2Sm | Alexandria | PBE | optimized geometry
# Space group: No. 162
# VASP energy: -3.9078 eV per atom
data_Ac6Pm2Sm
_cell_length_a 7.023
_cell_length_b 7.023
_cell_length_c 9.738
_cell_angle_alpha 90.00
_cell_angle_beta 90.00
_cell_angle_gamma 120.00
_symmetry_space_group_name_H-M 'P 1'
_symmetry_Int_Tables_number 1
loop_
_symmetry_equiv_pos_as_xyz
'x,y,z'
loop_
_atom_site_label
_atom_site_fract_x
_atom_site_fract_y
_atom_site_fract_z
Ac1 0.000 0.352 0.206
Ac2 0.000 0.648 0.794
Ac3 0.352 0.000 0.206
Ac4 0.352 0.352 0.794
Ac5 0.648 0.000 0.794
Ac6 0.648 0.648 0.206
Pm1 0.333 0.667 0.500
Pm2 0.667 0.333 0.500
Sm1 0.000 0.000 0.000


# PmNbGe2 | Alexandria | PBE | optimized geometry
# Space group: No. 166
# VASP energy: -5.7346 eV per atom
data_PmNbGe2
_cell_length_a 10.759
_cell_length_b 10.759
_cell_length_c 10.759
_cell_angle_alpha 16.49
_cell_angle_beta 16.49
_cell_angle_gamma 16.49
_symmetry_space_group_name_H-M 'P 1'
_symmetry_Int_Tables_number 1
loop_
_symmetry_equiv_pos_as_xyz
'x,y,z'
loop_
_atom_site_label
_atom_site_fract_x
_atom_site_fract_y
_atom_site_fract_z
Pm1 0.000 0.000 0.000
Nb1 0.500 0.500 0.500
Ge1 0.416 0.416 0.416
Ge2 0.584 0.584 0.584


# Y2Zr | Alexandria | PBE | optimized geometry
# Space group: No. 227
# Energy relative to the lowest polymorph listed for this composition: 0.470 eV per atom
data_Y2Zr
_cell_length_a 6.328
_cell_length_b 6.328
_cell_length_c 6.328
_cell_angle_alpha 60.00
_cell_angle_beta 60.00
_cell_angle_gamma 60.00
_symmetry_space_group_name_H-M 'P 1'
_symmetry_Int_Tables_number 1
loop_
_symmetry_equiv_pos_as_xyz
'x,y,z'
loop_
_atom_site_label
_atom_site_fract_x
_atom_site_fract_y
_atom_site_fract_z
Y1 0.000 0.000 0.000
Y2 0.000 0.000 0.500
Y3 0.000 0.500 0.000
Y4 0.500 0.000 0.000
Zr1 0.375 0.375 0.375
Zr2 0.625 0.625 0.625


# TlSi2Se | Alexandria | PBE | optimized geometry
# Space group: No. 122
# Energy relative to the lowest polymorph listed for this composition: 0.360 eV per atom
# Formation energy from raw total energies: 0.50 eV/atom
data_TlSi2Se
_cell_length_a 7.610
_cell_length_b 7.610
_cell_length_c 7.610
_cell_angle_alpha 134.31
_cell_angle_beta 134.31
_cell_angle_gamma 66.60
_symmetry_space_group_name_H-M 'P 1'
_symmetry_Int_Tables_number 1
loop_
_symmetry_equiv_pos_as_xyz
'x,y,z'
loop_
_atom_site_label
_atom_site_fract_x
_atom_site_fract_y
_atom_site_fract_z
Tl1 0.000 0.000 0.000
Tl2 0.750 0.250 0.500
Si1 0.142 0.625 0.017
Si2 0.375 0.392 0.517
Si3 0.608 0.125 0.983
Si4 0.875 0.858 0.483
Se1 0.250 0.750 0.500
Se2 0.500 0.500 0.000


# DyB2Mo | Alexandria | PBE | optimized geometry
# Space group: No. 166
# VASP energy: -7.3028 eV per atom
data_DyB2Mo
_cell_length_a 6.028
_cell_length_b 6.028
_cell_length_c 6.028
_cell_angle_alpha 32.51
_cell_angle_beta 32.51
_cell_angle_gamma 32.51
_symmetry_space_group_name_H-M 'P 1'
_symmetry_Int_Tables_number 1
loop_
_symmetry_equiv_pos_as_xyz
'x,y,z'
loop_
_atom_site_label
_atom_site_fract_x
_atom_site_fract_y
_atom_site_fract_z
Dy1 0.000 0.000 0.000
B1 0.234 0.234 0.234
B2 0.766 0.766 0.766
Mo1 0.500 0.500 0.500


# Sm4Zn2Ag5 | Alexandria | PBE | optimized geometry
# Space group: No. 10
# VASP energy: -3.4816 eV per atom
data_Sm4Zn2Ag5
_cell_length_a 7.657
_cell_length_b 3.827
_cell_length_c 8.943
_cell_angle_alpha 90.00
_cell_angle_beta 91.65
_cell_angle_gamma 90.00
_symmetry_space_group_name_H-M 'P 1'
_symmetry_Int_Tables_number 1
loop_
_symmetry_equiv_pos_as_xyz
'x,y,z'
loop_
_atom_site_label
_atom_site_fract_x
_atom_site_fract_y
_atom_site_fract_z
Sm1 0.214 0.000 0.139
Sm2 0.264 0.000 0.620
Sm3 0.736 0.000 0.380
Sm4 0.786 0.000 0.861
Zn1 0.065 0.500 0.377
Zn2 0.935 0.500 0.623
Ag1 0.132 0.500 0.876
Ag2 0.413 0.500 0.357
Ag3 0.500 0.500 0.000
Ag4 0.587 0.500 0.643
Ag5 0.868 0.500 0.124


# FeCoRu2 | Alexandria | PBE | optimized geometry
# Space group: No. 119
# Energy relative to the lowest polymorph listed for this composition: 0.000 eV per atom
data_FeCoRu2
_cell_length_a 4.562
_cell_length_b 4.562
_cell_length_c 4.562
_cell_angle_alpha 132.77
_cell_angle_beta 132.77
_cell_angle_gamma 69.02
_symmetry_space_group_name_H-M 'P 1'
_symmetry_Int_Tables_number 1
loop_
_symmetry_equiv_pos_as_xyz
'x,y,z'
loop_
_atom_site_label
_atom_site_fract_x
_atom_site_fract_y
_atom_site_fract_z
Fe1 0.000 0.000 0.000
Co1 0.750 0.250 0.500
Ru1 0.250 0.750 0.500
Ru2 0.500 0.500 0.000


# BaCo2S | Alexandria | PBE | optimized geometry
# Space group: No. 141
# Formation energy from raw total energies: -0.34 eV/atom
data_BaCo2S
_cell_length_a 8.039
_cell_length_b 8.039
_cell_length_c 8.039
_cell_angle_alpha 145.32
_cell_angle_beta 145.32
_cell_angle_gamma 49.85
_symmetry_space_group_name_H-M 'P 1'
_symmetry_Int_Tables_number 1
loop_
_symmetry_equiv_pos_as_xyz
'x,y,z'
loop_
_atom_site_label
_atom_site_fract_x
_atom_site_fract_y
_atom_site_fract_z
Ba1 0.375 0.625 0.750
Ba2 0.625 0.375 0.250
Co1 0.000 0.000 0.000
Co2 0.000 0.000 0.500
Co3 0.000 0.500 0.000
Co4 0.500 0.000 0.500
S1 0.125 0.875 0.250
S2 0.875 0.125 0.750